Nd3Al8In, optimized geometry, DFT PBE; total magnetic moment = 0.0 μB/f.u.; symmetry = R3m (160); energy = -4.271 eV/atom; DFT formation energy = -355 meV/atom
1.0
5.688 0.000 0.000
2.844 4.926 0.000
2.844 1.642 9.158
Al Nd In
8 3 1
Cartesian
5.688 4.950 1.693
4.245 2.451 1.693
2.844 1.642 3.970
8.532 4.926 8.605
8.532 3.272 6.299
7.131 2.451 1.693
9.965 5.753 6.299
7.099 5.753 6.299
5.688 3.284 4.469
5.688 3.284 8.045
8.532 4.926 0.129
8.532 4.926 3.463